# 1
! PBE NaAlSiPb2, optimized geometry; values from VASP
! Electronic total energy   -2.99 eV/atom
! Formation energy from raw total energies   0.59 eV per atom
! Fermi-level density of states   3.79 states/eV/cell
! Total magnetization   0.0 μB per formula unit
! Space group   No. 123
&SYSTEM
  ibrav = 0, nat = 5, ntyp = 4
/
ATOMIC_SPECIES
Al 26.98 Al.upf
Pb 207.20 Pb.upf
Si 28.09 Si.upf
Na 22.99 Na.upf
ATOMIC_POSITIONS crystal
Al 0.500 0.500 0.500
Pb 0.000 0.000 0.500
Si 0.000 0.000 0.000
Pb 0.500 0.000 0.000
Na 0.000 0.500 0.000
CELL_PARAMETERS angstrom
-0.769 -5.364 -0.357
5.254 -0.709 -0.653
0.608 -0.445 5.378

=====

# 2
! PBE LiErAl2Pt4, optimized geometry; values from VASP
! Energy relative to the elements   -1.037 eV per atom
! Electronic total energy   -5.80 eV/atom
! Fermi-level density of states   2.87 states/eV/cell
! Total magnetization   0.0 μB per formula unit
! Space group   No. 166
&SYSTEM
  ibrav = 0, nat = 8, ntyp = 4
/
ATOMIC_SPECIES
Er 167.26 Er.upf
Al 26.98 Al.upf
Pt 195.08 Pt.upf
Li 6.94 Li.upf
ATOMIC_POSITIONS crystal
Er 0.000 0.000 0.000
Al 0.761 0.761 0.716
Al 0.239 0.239 0.284
Pt 0.600 0.600 0.200
Pt 0.400 0.400 0.800
Pt 0.869 0.869 0.392
Pt 0.131 0.131 0.608
Li 0.500 0.500 0.500
CELL_PARAMETERS angstrom
-2.335 3.587 -0.242
-1.753 1.659 3.543
5.370 6.216 2.340

=====

# 3
! PBE La3PmSm6, optimized geometry; values from VASP
! Energy relative to the elements   0.136 eV per atom
! Electronic total energy   -4.65 eV/atom
! Fermi-level density of states   28.48 states/eV/cell
! Total magnetization   0.0 μB per formula unit
! Space group   No. 36
&SYSTEM
  ibrav = 0, nat = 20, ntyp = 3
/
ATOMIC_SPECIES
Sm 150.36 Sm.upf
Pm 145.00 Pm.upf
La 138.91 La.upf
ATOMIC_POSITIONS crystal
Sm 0.648 0.277 0.723
Pm 0.113 0.190 0.810
Sm 0.372 0.055 0.472
La 0.578 0.614 0.386
La 0.964 0.059 0.291
La 0.464 0.291 0.059
La 0.964 0.709 0.941
Sm 0.872 0.472 0.055
Sm 0.554 0.627 0.714
La 0.464 0.941 0.709
Sm 0.148 0.723 0.277
Sm 0.372 0.528 0.945
Sm 0.054 0.714 0.627
Sm 0.872 0.945 0.528
La 0.078 0.386 0.614
Sm 0.865 0.034 0.966
Pm 0.613 0.810 0.190
Sm 0.054 0.373 0.286
Sm 0.365 0.966 0.034
Sm 0.554 0.286 0.373
CELL_PARAMETERS angstrom
-1.389 1.492 6.140
-8.414 -7.436 -0.096
10.343 -3.092 3.091

=====

# 4
! PBE ScAlW2, optimized geometry; values from VASP
! Energy relative to the elements   0.103 eV per atom
! Electronic total energy   -8.89 eV/atom
! Fermi-level density of states   3.66 states/eV/cell
! Total magnetization   0.0 μB per formula unit
! Space group   No. 12
&SYSTEM
  ibrav = 0, nat = 4, ntyp = 3
/
ATOMIC_SPECIES
Al 26.98 Al.upf
W 183.84 W.upf
Sc 44.96 Sc.upf
ATOMIC_POSITIONS crystal
Al 0.500 0.000 0.500
W 0.000 0.000 0.000
Sc 0.000 0.500 0.500
W 0.500 0.500 0.000
CELL_PARAMETERS angstrom
-4.598 1.919 1.989
2.836 -3.351 3.084
1.034 1.834 1.807

=====

# 5
! PBE Th2GaHIr6, optimized geometry; values from VASP
! Electronic total energy   -7.86 eV/atom
! Fermi-level density of states   5.69 states/eV/cell
! Total magnetization   0.0 μB per formula unit
! Space group   No. 225
&SYSTEM
  ibrav = 0, nat = 10, ntyp = 4
/
ATOMIC_SPECIES
Ir 192.22 Ir.upf
Th 232.04 Th.upf
H 1.01 H.upf
Ga 69.72 Ga.upf
ATOMIC_POSITIONS crystal
Ir 0.727 0.273 0.000
Ir 0.273 0.727 0.000
Th 0.750 0.250 0.500
Ir 0.727 0.727 0.000
Ir 0.273 0.273 0.000
H 0.500 0.500 0.000
Ir 0.727 0.727 0.547
Th 0.250 0.750 0.500
Ga 0.000 0.000 0.000
Ir 0.273 0.273 0.453
CELL_PARAMETERS angstrom
6.207 0.004 0.002
0.004 6.208 0.001
3.107 3.107 4.389

=====

# 6
! PBE NpPHPd, optimized geometry; values from VASP
! Electronic total energy   -7.27 eV/atom
! Fermi-level density of states   9.91 states/eV/cell
! Total magnetization   3.7 μB per formula unit
! Space group   No. 187
&SYSTEM
  ibrav = 0, nat = 4, ntyp = 4
/
ATOMIC_SPECIES
H 1.01 H.upf
Np 237.00 Np.upf
Pd 106.42 Pd.upf
P 30.97 P.upf
ATOMIC_POSITIONS crystal
H 0.239 0.477 0.310
Np 0.572 0.144 0.310
Pd 0.239 0.477 0.810
P 0.905 0.810 0.810
CELL_PARAMETERS angstrom
4.181 0.000 0.000
-2.090 3.620 0.006
0.000 -0.007 3.898

=====

# 7
! PBE CrHSe2, optimized geometry; values from VASP
! Electronic total energy   -5.32 eV/atom
! Fermi-level density of states   1.26 states/eV/cell
! Total magnetization   0.0 μB per formula unit
! Space group   No. 1
&SYSTEM
  ibrav = 0, nat = 8, ntyp = 3
/
ATOMIC_SPECIES
Se 78.96 Se.upf
Cr 52.00 Cr.upf
H 1.01 H.upf
ATOMIC_POSITIONS crystal
Se 0.951 0.563 0.310
Cr 0.507 0.716 0.058
Se 0.556 0.851 0.426
Se 0.074 0.900 0.925
H 0.197 0.242 0.342
Cr 0.000 0.698 0.678
H 0.299 0.173 0.372
Se 0.433 0.514 0.810
CELL_PARAMETERS angstrom
3.126 0.033 -0.002
-1.234 9.163 0.019
0.000 0.344 5.734

=====

# 8
! PBE Be2FeB, optimized geometry; values from VASP
! Energy relative to the elements   0.132 eV per atom
! Electronic total energy   -5.52 eV/atom
! Fermi-level density of states   1.78 states/eV/cell
! Total magnetization   2.6 μB per formula unit
! Space group   No. 164
&SYSTEM
  ibrav = 0, nat = 4, ntyp = 3
/
ATOMIC_SPECIES
Be 9.01 Be.upf
Fe 55.84 Fe.upf
B 10.81 B.upf
ATOMIC_POSITIONS crystal
Be 0.667 0.333 0.878
Fe 0.000 0.000 0.500
Be 0.333 0.667 0.122
B 0.000 0.000 0.000
CELL_PARAMETERS angstrom
3.266 0.000 0.000
-1.633 2.828 0.000
0.000 0.000 4.076

=====

# 9
! PBE NdDyAgPt, optimized geometry; values from VASP
! Energy relative to the elements   -0.716 eV per atom
! Electronic total energy   -5.28 eV/atom
! Fermi-level density of states   2.11 states/eV/cell
! Total magnetization   0.0 μB per formula unit
! Space group   No. 216
&SYSTEM
  ibrav = 0, nat = 4, ntyp = 4
/
ATOMIC_SPECIES
Nd 144.24 Nd.upf
Dy 162.50 Dy.upf
Ag 107.87 Ag.upf
Pt 195.08 Pt.upf
ATOMIC_POSITIONS crystal
Nd 0.500 0.500 0.500
Dy 0.000 0.000 0.000
Ag 0.250 0.250 0.250
Pt 0.750 0.750 0.750
CELL_PARAMETERS angstrom
-2.802 2.104 -3.720
0.719 -1.421 -4.856
-3.554 -2.776 -2.403

=====

# 10
! PBE La2SmUN4, optimized geometry; values from VASP
! Electronic total energy   -8.83 eV/atom
! Formation energy from raw total energies   -1.43 eV per atom
! Fermi-level density of states   5.38 states/eV/cell
! Total magnetization   0.0 μB per formula unit
! Space group   No. 10
&SYSTEM
  ibrav = 0, nat = 8, ntyp = 4
/
ATOMIC_SPECIES
N 14.01 N.upf
La 138.91 La.upf
U 238.03 U.upf
Sm 150.36 Sm.upf
ATOMIC_POSITIONS crystal
N 0.000 0.227 0.789
N 0.500 0.787 0.794
La 0.500 0.000 0.500
La 0.000 0.500 0.500
U 0.000 0.000 0.000
N 0.000 0.773 0.211
Sm 0.500 0.500 0.000
N 0.500 0.213 0.206
CELL_PARAMETERS angstrom
-2.736 -2.299 0.415
3.142 -2.943 4.413
-3.448 4.579 2.646

=====

Number 4 is which compound?
ScAlW2